{"formula": "CdCu", "functional": "GGA-PBE", "state": "optimized geometry", "e_form_kj_per_mol_atoms": 15.88, "vol_a3_per_atom": 19.15, "n_ef_per_ev_atom": 0.372, "spacegroup": "P6_3/mmc", "lattice": [[-3.185, -2.303, 1.631], [3.905, -0.288, 1.666], [-1.049, 3.637, 3.088]], "species": ["Cd", "Cu", "Cu", "Cd"], "frac_coords": [[0.333, 0.667, 0.250], [0.000, 0.000, 0.000], [0.000, 0.000, 0.500], [0.667, 0.333, 0.750]]}